No. 1
VASP calculation (PBE) on an optimized crystal structure of ZrMoN2.

a b c (Å): 4.7358 4.7358 9.9711
angles (deg): 90.00 90.00 90.00
With the nearest neighbours (Å) after each atom.
Space group I-42d (No. 122)
One atom of each set of equivalent atoms:
Zr  0.0000  0.0000  0.0000 (multiplicity 4)  4 N 2.17
Mo  0.0000  0.0000  0.5000 (multiplicity 4)  4 N 2.01
N  0.2212  0.2500  0.6250 (multiplicity 8)  2 Mo 2.01, 2 Zr 2.17

- Electronic total energy: -9.699 eV/atom
- Distance to the lowest polymorph of the same formula: 0.3749 eV/atom
- Volume: 223.63 Å³ per cell
- ΔE_f (raw): -0.691 eV per atom

---

No. 2
VASP calculation (PBE) on an optimized crystal structure of ZrMo2N.

a b c (Å): 2.9576 2.9576 24.3642
angles (deg): 90.00 90.00 120.00
With the nearest neighbours (Å) after each atom.
Space group R-3m (No. 166, hexagonal axes)
One atom of each set of equivalent atoms:
Zr  0.0000  0.0000  0.0000 (multiplicity 3)  2 Mo 2.76, 6 Zr 2.96
Mo  0.0000  0.0000  0.1135 (multiplicity 6)  3 N 2.14
N  0.0000  0.0000  0.5000 (multiplicity 3)  6 Mo 2.14

- Electronic total energy: -9.383 eV/atom
- Volume: 184.57 Å³ per cell
- ΔE_f (raw): 0.251 eV per atom

---

No. 3
VASP calculation (PBE) on an optimized crystal structure of ZrMo2N.

a b c (Å): 6.0684 6.0684 7.6539
angles (deg): 90.00 90.00 90.00
With the nearest neighbours (Å) after each atom.
Space group I-42d (No. 122)
One atom of each set of equivalent atoms:
Zr  0.0000  0.0000  0.0000 (multiplicity 4)  4 Mo 2.93
Mo  0.1190  0.2500  0.6250 (multiplicity 8)  2 N 1.93
N  0.0000  0.0000  0.5000 (multiplicity 4)  4 Mo 1.93

- Electronic total energy: -9.353 eV/atom
- Volume: 281.86 Å³ per cell
- ΔE_f (raw): 0.281 eV per atom

---

No. 4
VASP calculation (PBE) on an optimized crystal structure of ZrMoN2.

a b c (Å): 5.5418 5.5418 5.5418
angles (deg): 90.00 90.00 90.00
With the nearest neighbours (Å) after each atom.
Space group Fm-3m (No. 225)
One atom of each set of equivalent atoms:
Zr  0.0000  0.0000  0.0000 (multiplicity 4)  8 N 2.40
Mo  0.0000  0.0000  0.5000 (multiplicity 4)  8 N 2.40
N  0.2500  0.2500  0.2500 (multiplicity 8)  4 Zr 2.40, 4 Mo 2.40

- Electronic total energy: -9.454 eV/atom
- Distance to the lowest polymorph of the same formula: 0.6191 eV/atom
- Volume: 170.19 Å³ per cell
- ΔE_f (raw): -0.447 eV per atom

---

No. 5
VASP calculation (PBE) on an optimized crystal structure of ZrMoN2.

a b c (Å): 3.2782 3.2782 18.3228
angles (deg): 90.00 90.00 120.00
With the nearest neighbours (Å) after each atom.
Space group R-3m (No. 166, hexagonal axes)
One atom of each set of equivalent atoms:
Zr  0.0000  0.0000  0.0000 (multiplicity 3)  6 N 2.20
Mo  0.0000  0.0000  0.5000 (multiplicity 3)  2 N 1.93
N  0.0000  0.0000  0.3947 (multiplicity 6)  1 Mo 1.93

- Electronic total energy: -9.584 eV/atom
- Distance to the lowest polymorph of the same formula: 0.4897 eV/atom
- Volume: 170.53 Å³ per cell
- ΔE_f (raw): -0.576 eV per atom

---

No. 6
VASP calculation (PBE) on an optimized crystal structure of NaMo.

a b c (Å): 6.3151 4.7494 12.3218
angles (deg): 90.00 90.00 90.00
With the nearest neighbours (Å) after each atom.
Space group Pnma (No. 62)
One atom of each set of equivalent atoms:
Na  0.0773  0.2500  0.0752 (multiplicity 4)  4 Mo 3.04-3.40, 5 Na 3.08-3.37
Na  0.1209  0.2500  0.8027 (multiplicity 4)  6 Mo 3.05-3.37, 5 Na 3.08-3.41
Mo  0.0465  0.2500  0.3710 (multiplicity 4)  1 Mo 2.30
Mo  0.0490  0.2500  0.5578 (multiplicity 4)  1 Mo 2.30

- Electronic total energy: -5.202 eV/atom
- Distance to the lowest polymorph of the same formula: 0.3775 eV/atom
- Volume: 369.57 Å³ per cell
- Energy of formation: 0.873 eV per atom

---

No. 7
VASP calculation (PBE) on an optimized crystal structure of NaMo.

a b c (Å): 9.0476 9.0476 9.0476
angles (deg): 90.00 90.00 90.00
With the nearest neighbours (Å) after each atom.
Space group Pm-3n (No. 223)
One atom of each set of equivalent atoms:
Na  0.0000  0.2500  0.5000 (multiplicity 6)  4 Mo 3.20
Mo  0.0000  0.5000  0.2500 (multiplicity 6)  4 Na 3.20

- Electronic total energy: -3.291 eV/atom
- Distance to the lowest polymorph of the same formula: 2.2892 eV/atom
- Volume: 740.62 Å³ per cell
- Energy of formation: 2.784 eV per atom

---

No. 8
VASP calculation (PBE) on an optimized crystal structure of NaMo.

a b c (Å): 11.1765 11.1765 2.6924
angles (deg): 90.00 90.00 90.00
With the nearest neighbours (Å) after each atom.
Space group P4/mmm (No. 123)
One atom of each set of equivalent atoms:
Na  0.0000  0.2507  0.0000 (multiplicity 4)  2 Na 2.69
Na  0.2604  0.2604  0.5000 (multiplicity 4)  2 Na 2.69
Mo  0.1104  0.5000  0.5000 (multiplicity 4)  3 Mo 2.47-2.69
Mo  0.3343  0.5000  0.0000 (multiplicity 4)  6 Mo 2.62-2.84

- Electronic total energy: -5.293 eV/atom
- Distance to the lowest polymorph of the same formula: 0.2869 eV/atom
- Volume: 336.32 Å³ per cell
- Energy of formation: 0.782 eV per atom